No. 1
The following is a DFT calculation (PBE-GGA) of an optimized crystal structure of CaZrHg4.

Calculated values
DFT total energy	-11.594	eV per cell
total magnetic moment	0.77	μB per formula unit
formation enthalpy at 0 K	0.03	eV/atom

Cell: 5.8899 5.8899 5.8899 Å, 60.00 60.00 60.00°
Last column: magnetic moment on the atom in μB.
Sites, in units of the cell vectors:
Ca: 0.0000 0.0000 0.0000  0.04
Zr: 0.7500 0.7500 0.7500  0.44
Hg: 0.3755 0.8735 0.3755  0.00
Hg: 0.8735 0.3755 0.3755  0.00
Hg: 0.3755 0.3755 0.8735  0.00
Hg: 0.3755 0.3755 0.3755  0.00



No. 2
The following is a DFT calculation (PBE-GGA) of an optimized crystal structure of PrNd4Er6.

Calculated values
DFT total energy	-49.568	eV per cell
total magnetic moment	0.00	μB per formula unit
formation enthalpy at 0 K	0.15	eV/atom
offset from the most stable computed form	0.000	eV/atom

Cell: 3.5373 11.0183 11.0183 Å, 120.00 90.00 90.00°
Sites, in units of the cell vectors:
Pr: 0.0000 0.0000 0.0000
Nd: 0.5000 0.8017 0.6034
Nd: 0.5000 0.3966 0.1983
Nd: 0.5000 0.8017 0.1983
Nd: 0.0000 0.3333 0.6667
Er: 0.0000 0.4958 0.9916
Er: 0.5000 0.6576 0.8288
Er: 0.0000 0.4958 0.5042
Er: 0.0000 0.0084 0.5042
Er: 0.5000 0.1712 0.8288
Er: 0.5000 0.1712 0.3424



No. 3
The following is a DFT calculation (PBE-GGA) of an optimized crystal structure of Tb6CePr3Dy2.

Calculated values
DFT total energy	-56.833	eV per cell
total magnetic moment	1.21	μB per formula unit
formation enthalpy at 0 K	0.04	eV/atom

Cell: 6.2363 6.2363 11.8882 Å, 95.01 95.01 120.00°
Last column: magnetic moment on the atom in μB.
Sites, in units of the cell vectors:
Tb: 0.9182 0.5872 0.7546  0.02
Tb: 0.7506 0.7506 0.2457  0.02
Tb: 0.0818 0.4128 0.2454  0.02
Tb: 0.5872 0.9182 0.7546  0.02
Tb: 0.2494 0.2494 0.7543  0.02
Tb: 0.4128 0.0818 0.2454  0.02
Ce: 0.0000 0.0000 0.0000  0.79
Pr: 0.1675 0.8325 0.5000  -0.01
Pr: 0.8325 0.1675 0.5000  -0.01
Pr: 0.5000 0.5000 0.5000  -0.01
Dy: 0.3334 0.6666 0.0000  0.04
Dy: 0.6666 0.3334 0.0000  0.04



No. 4
The following is a DFT calculation (PBE-GGA) of an optimized crystal structure of NaZn6Si2.

Calculated values
formation energy without anion corrections	0.029	eV/atom
DFT total energy	-19.548	eV per cell
total magnetic moment	0.00	μB per formula unit

Cell: 4.0933 4.0933 8.9843 Å, 90.00 90.00 90.00°
Sites, in units of the cell vectors:
Na: 0.0000 0.0000 0.0000
Zn: 0.0000 0.5000 0.2926
Zn: 0.5000 0.0000 0.2926
Zn: 0.0000 0.5000 0.7074
Zn: 0.5000 0.0000 0.7074
Zn: 0.5000 0.5000 0.5000
Zn: 0.0000 0.0000 0.5000
Si: 0.5000 0.5000 0.1321
Si: 0.5000 0.5000 0.8679



No. 5
The following is a DFT calculation (PBE-GGA) of an optimized crystal structure of ScAl2ReRu.

Calculated values
DFT total energy	-26.116	eV per cell
total magnetic moment	0.98	μB per formula unit
formation enthalpy at 0 K	1.88	eV/atom

Cell: 4.8413 4.4084 4.8413 Å, 90.00 90.00 90.00°
Last column: magnetic moment on the atom in μB.
Sites, in units of the cell vectors:
Sc: 0.0000 0.0000 0.0000  -0.01
Re: 0.0000 0.5000 0.0000  -0.46
Al: 0.0000 0.0000 0.5000  0.00
Al: 0.5000 0.0000 0.0000  0.01
Ru: 0.5000 0.5000 0.5000  1.40



No. 6
The following is a DFT calculation (PBE-GGA) of an optimized crystal structure of KMgAs2.

Calculated values
DFT total energy	-12.565	eV per cell
total magnetic moment	0.00	μB per formula unit
formation enthalpy at 0 K	-0.14	eV/atom

Cell: 6.8535 6.8535 6.8535 Å, 40.42 40.42 40.42°
Sites, in units of the cell vectors:
As: 0.0229 0.0229 0.0229
As: 0.3071 0.3071 0.3071
K: 0.4919 0.4919 0.4919
Mg: 0.6781 0.6781 0.6781



No. 7
The following is a DFT calculation (PBE-GGA) of an optimized crystal structure of V3Mo2Os.

Calculated values
DFT total energy	-123.505	eV per cell
total magnetic moment	0.00	μB per formula unit
formation enthalpy at 0 K	-0.25	eV/atom

Cell: 4.3263 6.8292 6.1080 Å, 90.00 90.00 71.53°
Sites, in units of the cell vectors:
V: 0.8331 0.3339 0.7500
V: 0.5000 0.0000 0.2491
V: 0.1669 0.6661 0.2500
V: 0.8330 0.3339 0.2500
V: 0.1670 0.6661 0.7500
V: 0.5000 0.0000 0.7509
Mo: 0.0000 0.0000 0.0000
Mo: 0.0000 0.0000 0.5000
Mo: 0.3328 0.3344 0.5000
Mo: 0.6672 0.6656 0.5000
Os: 0.3327 0.3345 0.0000
Os: 0.6673 0.6655 0.0000



No. 8
The following is a DFT calculation (PBE-GGA) of an optimized crystal structure of GaTc2Pb.

Calculated values
DFT total energy	-50.629	eV per cell
total magnetic moment	0.00	μB per formula unit
formation enthalpy at 0 K	0.54	eV/atom
offset from the most stable computed form	0.073	eV/atom

Cell: 4.1355 4.1355 9.7795 Å, 77.79 77.79 90.00°
Sites, in units of the cell vectors:
Pb: 0.0000 0.0000 0.0000
Pb: 0.7500 0.2500 0.5000
Tc: 0.5275 0.1250 0.2500
Tc: 0.2225 0.6250 0.2500
Tc: 0.3750 0.4725 0.7500
Tc: 0.8750 0.7775 0.7500
Ga: 0.5000 0.5000 0.0000
Ga: 0.2500 0.7500 0.5000



Question: DFT total energy of number 8 (GaTc2Pb)?
Answer: -50.629 eV per cell



Question: Among the records above, which one has the lowest DFT total energy?
Answer: V3Mo2Os



Question: total magnetic moment of number 6 (KMgAs2)?
Answer: 0.00 μB per formula unit



Repeat the second record exactly.
The following is a DFT calculation (PBE-GGA) of an optimized crystal structure of PrNd4Er6.

Calculated values
DFT total energy	-49.568	eV per cell
total magnetic moment	0.00	μB per formula unit
formation enthalpy at 0 K	0.15	eV/atom
offset from the most stable computed form	0.000	eV/atom

Cell: 3.5373 11.0183 11.0183 Å, 120.00 90.00 90.00°
Sites, in units of the cell vectors:
Pr: 0.0000 0.0000 0.0000
Nd: 0.5000 0.8017 0.6034
Nd: 0.5000 0.3966 0.1983
Nd: 0.5000 0.8017 0.1983
Nd: 0.0000 0.3333 0.6667
Er: 0.0000 0.4958 0.9916
Er: 0.5000 0.6576 0.8288
Er: 0.0000 0.4958 0.5042
Er: 0.0000 0.0084 0.5042
Er: 0.5000 0.1712 0.8288
Er: 0.5000 0.1712 0.3424